[1]
# Y3Tl3GeO8 | Alexandria | GGA-PBE | relaxed
data_Y3Tl3GeO8
_symmetry_space_group_name_H-M 'P 1'
_symmetry_Int_Tables_number 1
_cell_length_a 7.6401
_cell_length_b 7.6401
_cell_length_c 7.6401
_cell_angle_alpha 52.61
_cell_angle_beta 52.61
_cell_angle_gamma 52.61
loop_
_symmetry_equiv_pos_as_xyz
'x,y,z'
loop_
_atom_site_label
_atom_site_type_symbol
_atom_site_fract_x
_atom_site_fract_y
_atom_site_fract_z
Y1 Y 0.0000 0.5000 0.5000
Y2 Y 0.5000 0.0000 0.5000
Y3 Y 0.5000 0.5000 0.0000
Tl1 Tl 0.0000 0.0000 0.5000
Tl2 Tl 0.0000 0.5000 0.0000
Tl3 Tl 0.5000 0.0000 0.0000
Ge1 Ge 0.0000 0.0000 0.0000
O1 O 0.1993 0.1993 0.7615
O2 O 0.1993 0.7615 0.1993
O3 O 0.2385 0.8007 0.8007
O4 O 0.2778 0.2778 0.2778
O5 O 0.7222 0.7222 0.7222
O6 O 0.7615 0.1993 0.1993
O7 O 0.8007 0.2385 0.8007
O8 O 0.8007 0.8007 0.2385
# Final energy (eV per atom): -6.8683
# Raw formation energy (meV/atom): -2150.0
# Symmetry: R-3m (166)

[2]
# YTl2Ge2O6 | Alexandria | GGA-PBE | relaxed
data_YTl2Ge2O6
_symmetry_space_group_name_H-M 'P 1'
_symmetry_Int_Tables_number 1
_cell_length_a 6.0736
_cell_length_b 6.0736
_cell_length_c 7.1002
_cell_angle_alpha 117.65
_cell_angle_beta 117.65
_cell_angle_gamma 60.27
loop_
_symmetry_equiv_pos_as_xyz
'x,y,z'
loop_
_atom_site_label
_atom_site_type_symbol
_atom_site_fract_x
_atom_site_fract_y
_atom_site_fract_z
Y1 Y 0.0000 0.0000 0.0000
Tl1 Tl 0.2084 0.2084 0.6663
Tl2 Tl 0.7916 0.7916 0.3337
Ge1 Ge 0.4474 0.4474 0.2813
Ge2 Ge 0.5526 0.5526 0.7187
O1 O 0.2333 0.7098 0.7499
O2 O 0.2526 0.2526 0.1566
O3 O 0.2902 0.7667 0.2501
O4 O 0.7098 0.2333 0.7499
O5 O 0.7474 0.7474 0.8434
O6 O 0.7667 0.2902 0.2501
# Final energy (eV per atom): -6.2376
# Raw formation energy (meV/atom): -1675.7
# Symmetry: C2/m (12)

[3]
# TlZnGe2O6 | Alexandria | GGA-PBE | relaxed
data_TlZnGe2O6
_symmetry_space_group_name_H-M 'P 1'
_symmetry_Int_Tables_number 1
_cell_length_a 7.4064
_cell_length_b 7.4064
_cell_length_c 5.8217
_cell_angle_alpha 104.75
_cell_angle_beta 104.75
_cell_angle_gamma 89.10
loop_
_symmetry_equiv_pos_as_xyz
'x,y,z'
loop_
_atom_site_label
_atom_site_type_symbol
_atom_site_fract_x
_atom_site_fract_y
_atom_site_fract_z
Tl1 Tl 0.1131 0.8869 0.7500
Tl2 Tl 0.8869 0.1131 0.2500
Zn1 Zn 0.2285 0.7715 0.2500
Zn2 Zn 0.7715 0.2285 0.7500
Ge1 Ge 0.2273 0.3863 0.8066
Ge2 Ge 0.3863 0.2273 0.3066
Ge3 Ge 0.6137 0.7727 0.6934
Ge4 Ge 0.7727 0.6137 0.1934
O1 O 0.0363 0.2142 0.6866
O2 O 0.1616 0.6143 0.9192
O3 O 0.2142 0.0363 0.1866
O4 O 0.3210 0.3929 0.5523
O5 O 0.3857 0.8384 0.5808
O6 O 0.3929 0.3210 0.0523
O7 O 0.6071 0.6790 0.9477
O8 O 0.6143 0.1616 0.4192
O9 O 0.6790 0.6071 0.4477
O10 O 0.7858 0.9637 0.8134
O11 O 0.8384 0.3857 0.0808
O12 O 0.9637 0.7858 0.3134
# Final energy (eV per atom): -5.6057
# Raw formation energy (meV/atom): -1343.3
# Symmetry: C2/c (15)

[4]
# ZrTlGe2O8 | Alexandria | GGA-PBE | relaxed
data_ZrTlGe2O8
_symmetry_space_group_name_H-M 'P 1'
_symmetry_Int_Tables_number 1
_cell_length_a 5.8700
_cell_length_b 5.8700
_cell_length_c 5.8700
_cell_angle_alpha 107.55
_cell_angle_beta 107.55
_cell_angle_gamma 113.39
loop_
_symmetry_equiv_pos_as_xyz
'x,y,z'
loop_
_atom_site_label
_atom_site_type_symbol
_atom_site_fract_x
_atom_site_fract_y
_atom_site_fract_z
Zr1 Zr 0.0000 0.0000 0.0000
Tl1 Tl 0.2500 0.7500 0.5000
Ge1 Ge 0.5000 0.5000 0.0000
Ge2 Ge 0.7500 0.2500 0.5000
O1 O 0.3019 0.1244 0.8225
O2 O 0.3019 0.4795 0.1775
O3 O 0.3777 0.0721 0.3055
O4 O 0.5205 0.6981 0.8225
O5 O 0.7666 0.0721 0.6945
O6 O 0.8756 0.6981 0.1775
O7 O 0.9279 0.2334 0.3055
O8 O 0.9279 0.6223 0.6945
# Final energy (eV per atom): -6.6286
# Raw formation energy (meV/atom): -1644.0
# Symmetry: I-4m2 (119)